A plane-wave DFT calculation with PBE-GGA was carried out for a geometry-optimized Sc7Pt6 structure.

Values from the calculation:
As for the energy: -6.60 eV/atom. The calculation puts the total moment at 0.0 μB per formula unit. Its space group is R-3m (166). The calculation puts the formation energy from the elements at -0.407 eV/atom.

```
Sc7Pt6
1.0
-0.8601 -5.9625 7.1726
2.9326 -8.1747 3.5089
4.5280 -4.0473 7.1312
Sc Pt
7 6
Direct
0.4141 0.4141 0.9260
0.4141 0.9260 0.4141
0.9260 0.4141 0.4141
0.5859 0.5859 0.0740
0.0740 0.5859 0.5859
0.5859 0.0740 0.5859
0.5000 0.5000 0.5000
0.9496 0.9496 0.9496
0.0504 0.0504 0.0504
0.8384 0.8384 0.8384
0.1616 0.1616 0.1616
0.6663 0.6663 0.6663
0.3337 0.3337 0.3337
```

***

A plane-wave DFT calculation with PBE-GGA was carried out for a geometry-optimized MgNiBi3 structure.

Values from the calculation:
As for the energy: -2.83 eV/atom. The calculation puts the total moment at 0.7 μB per formula unit. Its space group is Pm-3m (221). The calculation puts the formation energy from the elements at 0.970 eV/atom. The energy above the most stable polymorph in this dataset is 717.9 meV per atom.

```
MgNiBi3
1.0
5.4154 0.0000 0.0000
0.0000 5.4154 0.0000
0.0000 0.0000 5.4154
Ni Mg Bi
1 1 3
Direct
0.5000 0.5000 0.5000
0.0000 0.0000 0.0000
0.0000 0.5000 0.0000
0.0000 0.0000 0.5000
0.5000 0.0000 0.0000
```

***

A plane-wave DFT calculation with PBE-GGA was carried out for a geometry-optimized SmPaRu structure.

Values from the calculation:
As for the energy: -8.12 eV/atom. The calculation puts the total moment at 0.0 μB per formula unit. Its space group is I4mm (107). The calculation puts the formation energy from the elements at -0.291 eV/atom. The energy above the most stable polymorph in this dataset is 0.0 meV per atom.

```
SmPaRu
1.0
3.5382 0.0000 0.0000
0.0000 3.5382 0.0000
-1.7691 -1.7691 5.6061
Ru Pa Sm
1 1 1
Direct
0.6984 0.6984 0.3968
0.3005 0.3005 0.6010
0.0011 0.0011 0.0022
```

***

A plane-wave DFT calculation with PBE-GGA was carried out for a geometry-optimized CsZrP3 structure.

Values from the calculation:
As for the energy: -3.20 eV/atom. The calculation puts the total moment at 0.0 μB per formula unit. Its space group is Pm-3m (221). The calculation puts the formation energy from the elements at 1.930 eV/atom.

```
CsZrP3
1.0
5.1523 0.0000 0.0000
0.0000 5.1523 0.0000
0.0000 0.0000 5.1523
Cs P Zr
1 3 1
Direct
0.0000 0.0000 0.0000
0.0000 0.5000 0.0000
0.0000 0.0000 0.5000
0.5000 0.0000 0.0000
0.5000 0.5000 0.5000
```

***

A plane-wave DFT calculation with PBE-GGA was carried out for a geometry-optimized Cs2NaMgBi2 structure.

Values from the calculation:
As for the energy: -2.45 eV/atom. The calculation puts the total moment at 0.0 μB per formula unit. Its space group is Ibam (72). The calculation puts the formation energy from the elements at -0.387 eV/atom.

```
Cs2NaMgBi2
1.0
-4.5180 -3.8635 4.8590
5.5431 -0.1884 5.0043
-3.3847 9.7516 -1.4594
Cs Na Mg Bi
4 2 2 4
Direct
0.4071 0.1701 0.3403
0.5929 0.8299 0.6597
0.0668 0.3299 0.6597
0.9332 0.6701 0.3403
0.0000 0.7500 0.0000
0.0000 0.2500 0.0000
0.5000 0.7500 0.0000
0.5000 0.2500 0.0000
0.8150 0.0930 0.1861
0.3711 0.5930 0.1861
0.6289 0.4070 0.8139
0.1850 0.9070 0.8139
```

***

A plane-wave DFT calculation with PBE-GGA was carried out for a geometry-optimized AgBiN2O structure.

Values from the calculation:
As for the energy: -4.34 eV/atom. For the formation energy from raw total energies, the calculation gives 1.327 eV/atom. The calculation puts the total moment at 1.4 μB per formula unit. Its space group is P4/mmm (123).

```
AgBiN2O
1.0
-2.2174 0.2438 3.4243
3.0498 -1.7315 2.0982
1.6057 3.7636 0.7718
O Bi Ag N
1 1 1 2
Direct
0.0000 0.0000 0.5000
0.5000 0.5000 0.5000
0.0000 0.0000 0.0000
0.0000 0.5000 0.0000
0.5000 0.0000 0.0000
```

***

A plane-wave DFT calculation with PBE-GGA was carried out for a geometry-optimized NpUPaOs structure.

Values from the calculation:
As for the energy: -11.16 eV/atom. The calculation puts the total moment at 2.6 μB per formula unit. Its space group is F-43m (216). The calculation puts the formation energy from the elements at 0.082 eV/atom.

```
NpUPaOs
1.0
-1.2697 -4.1066 -2.1566
3.2696 -3.4547 -0.7086
-0.2235 -4.0792 2.5372
Np Os Pa U
1 1 1 1
Direct
0.0000 0.0000 0.0000
0.5000 0.5000 0.5000
0.7500 0.7500 0.7500
0.2500 0.2500 0.2500
```

***

A plane-wave DFT calculation with PBE-GGA was carried out for a geometry-optimized NpAsAuS structure.

Values from the calculation:
As for the energy: -6.86 eV/atom. For the formation energy from raw total energies, the calculation gives -0.609 eV/atom. The calculation puts the total moment at 3.1 μB per formula unit. Its space group is P4/nmm (129).

```
NpAsAuS
1.0
4.2538 0.0000 0.0000
0.0000 4.2538 0.0000
0.0000 0.0000 8.8317
Np As Au S
2 2 2 2
Direct
0.5000 0.0000 0.6924
0.0000 0.5000 0.3076
0.0000 0.5000 0.8023
0.5000 0.0000 0.1977
0.5000 0.5000 0.0000
0.0000 0.0000 0.0000
0.0000 0.0000 0.5000
0.5000 0.5000 0.5000
```

***

A plane-wave DFT calculation with PBE-GGA was carried out for a geometry-optimized CsBe2Pd2 structure.

Values from the calculation:
As for the energy: -3.72 eV/atom. The calculation puts the total moment at 0.0 μB per formula unit. Its space group is I4/mmm (139). The calculation puts the formation energy from the elements at 0.015 eV/atom.

```
CsBe2Pd2
1.0
-1.7416 -0.6883 -3.1929
-1.5475 -3.0127 1.4936
-7.6063 2.3726 1.4917
Cs Be Pd
1 2 2
Direct
0.0000 0.0000 0.0000
0.7500 0.2500 0.5000
0.2500 0.7500 0.5000
0.3354 0.3354 0.3292
0.6646 0.6646 0.6708
```

***

A plane-wave DFT calculation with PBE-GGA was carried out for a geometry-optimized CoPdPt2 structure.

Values from the calculation:
As for the energy: -6.16 eV/atom. The calculation puts the total moment at 3.0 μB per formula unit. Its space group is R3m (160). The calculation puts the formation energy from the elements at -0.061 eV/atom.

```
CoPdPt2
1.0
2.7627 0.0000 0.0000
1.3814 2.3926 0.0000
1.3814 0.7975 8.8590
Co Pd Pt
1 1 2
Direct
0.4999 0.4999 0.5004
0.6668 0.6668 0.9996
0.0888 0.0888 0.7337
0.2446 0.2446 0.2663
```

***

A plane-wave DFT calculation with PBE-GGA was carried out for a geometry-optimized SrSmGaCu structure.

Values from the calculation:
As for the energy: -3.60 eV/atom. The calculation puts the total moment at 0.0 μB per formula unit. Its space group is F-43m (216). The calculation puts the formation energy from the elements at -0.217 eV/atom.

```
SrSmGaCu
1.0
-4.5234 1.8196 -1.9278
-4.2602 0.1938 3.0497
-1.8628 4.6287 1.6103
Sr Cu Ga Sm
1 1 1 1
Direct
0.5000 0.5000 0.5000
0.2500 0.2500 0.2500
0.7500 0.7500 0.7500
0.0000 0.0000 0.0000
```

***

A plane-wave DFT calculation with PBE-GGA was carried out for a geometry-optimized Ba2MgW structure.

Values from the calculation:
As for the energy: -3.66 eV/atom. The calculation puts the total moment at 2.2 μB per formula unit. Its space group is Imm2 (44). The calculation puts the formation energy from the elements at 0.940 eV/atom.

```
Ba2MgW
1.0
-3.7209 5.7264 1.5748
-2.6418 0.7868 6.4435
5.6534 -0.7662 -4.0705
Ba Mg W
2 1 1
Direct
0.9590 0.9590 0.0000
0.2618 0.7618 0.5000
0.5534 0.5534 0.0000
0.7258 0.2258 0.5000
```

***

- Look up the total moment of the fourth one.
  0.0 μB per formula unit